Record 1
# PrGa3Ir2

A relaxed PrGa3Ir2 crystal (PBE, Alexandria).

Cell lengths 8.5403, 8.5403, 9.9668 Å; angles 103.69, 103.69, 28.13 degrees
With the nearest neighbours (Å) after each atom.
Fractional coordinates of all 18 atoms:
Pr 0.0000 0.0000 0.0000  6 Ir 3.11-3.31, 8 Ga 3.38
Pr 0.1486 0.1486 0.6997  9 Ga 3.14-3.45, 6 Ir 3.26-3.48
Pr 0.8514 0.8514 0.3003  9 Ga 3.14-3.45, 6 Ir 3.26-3.48
Ga 0.0543 0.0543 0.3630  4 Ir 2.54-2.59, 3 Ga 2.75-2.78
Ga 0.2223 0.2223 0.3624  4 Ir 2.53-2.68, 3 Ga 2.78-2.80
Ga 0.3527 0.3527 0.0649  4 Ir 2.50-2.62, 1 Ga 2.56
Ga 0.3557 0.3557 0.8098  4 Ir 2.54-2.63, 3 Ga 2.56-2.80
Ga 0.5000 0.5000 0.5000  4 Ir 2.60-2.67, 4 Ga 2.75
Ga 0.6443 0.6443 0.1902  4 Ir 2.54-2.63, 3 Ga 2.56-2.80
Ga 0.6473 0.6473 0.9351  4 Ir 2.50-2.62, 1 Ga 2.56
Ga 0.7777 0.7777 0.6376  4 Ir 2.53-2.68, 3 Ga 2.78-2.80
Ga 0.9457 0.9457 0.6370  4 Ir 2.54-2.59, 3 Ga 2.75-2.78
Ir 0.2059 0.2059 0.0878  6 Ga 2.50-2.68
Ir 0.3541 0.3541 0.5538  7 Ga 2.53-2.67
Ir 0.4933 0.4933 0.2298  5 Ga 2.50-2.67
Ir 0.5067 0.5067 0.7702  5 Ga 2.50-2.67
Ir 0.6459 0.6459 0.4462  7 Ga 2.53-2.67
Ir 0.7941 0.7941 0.9122  6 Ga 2.50-2.68

Record 2
# Pr3Ga6Ir5

A relaxed Pr3Ga6Ir5 crystal (PBE, Alexandria).

Cell lengths 4.2732, 12.9205, 9.5450 Å; angles 90.00, 90.00, 90.00 degrees
With the nearest neighbours (Å) after each atom.
Fractional coordinates of all 28 atoms:
Pr 0.2500 0.0553 0.2480  8 Ga 3.05-3.27, 6 Ir 3.11-3.33
Pr 0.2500 0.4447 0.2480  8 Ga 3.05-3.27, 6 Ir 3.11-3.33
Pr 0.2500 0.7500 0.2441  6 Ir 3.04-3.19, 2 Ga 3.29
Pr 0.7500 0.2500 0.7559  6 Ir 3.04-3.19, 2 Ga 3.29
Pr 0.7500 0.5553 0.7520  8 Ga 3.05-3.27, 6 Ir 3.11-3.33
Pr 0.7500 0.9447 0.7520  8 Ga 3.05-3.27, 6 Ir 3.11-3.33
Ga 0.2500 0.0690 0.9073  4 Ir 2.62-2.73, 1 Ga 2.80
Ga 0.2500 0.2500 0.0680  4 Ir 2.60, 2 Ga 2.80
Ga 0.2500 0.2500 0.4593  4 Ir 2.58-2.67
Ga 0.2500 0.4310 0.9073  4 Ir 2.62-2.73, 1 Ga 2.80
Ga 0.2500 0.5979 0.5212  4 Ir 2.56-2.67
Ga 0.2500 0.9021 0.5212  4 Ir 2.56-2.67
Ga 0.7500 0.0979 0.4788  4 Ir 2.56-2.67
Ga 0.7500 0.4021 0.4788  4 Ir 2.56-2.67
Ga 0.7500 0.5690 0.0927  4 Ir 2.62-2.73, 1 Ga 2.80
Ga 0.7500 0.7500 0.5407  4 Ir 2.58-2.67
Ga 0.7500 0.7500 0.9320  4 Ir 2.60, 2 Ga 2.80
Ga 0.7500 0.9310 0.0927  4 Ir 2.62-2.73, 1 Ga 2.80
Ir 0.2500 0.0931 0.6269  5 Ga 2.56-2.69
Ir 0.2500 0.4069 0.6269  5 Ga 2.56-2.69
Ir 0.2500 0.6380 0.9643  5 Ga 2.60-2.73, 2 Ir 2.85-2.89
Ir 0.2500 0.7500 0.7077  4 Ga 2.65-2.67, 2 Ir 2.85
Ir 0.2500 0.8620 0.9643  5 Ga 2.60-2.73, 2 Ir 2.85-2.89
Ir 0.7500 0.1380 0.0357  5 Ga 2.60-2.73, 2 Ir 2.85-2.89
Ir 0.7500 0.2500 0.2923  4 Ga 2.65-2.67, 2 Ir 2.85
Ir 0.7500 0.3620 0.0357  5 Ga 2.60-2.73, 2 Ir 2.85-2.89
Ir 0.7500 0.5931 0.3731  5 Ga 2.56-2.69
Ir 0.7500 0.9069 0.3731  5 Ga 2.56-2.69

Record 3
# PrGa2Ir

A relaxed PrGa2Ir crystal (PBE, Alexandria).

Cell lengths 5.8106, 5.8106, 5.8106 Å; angles 42.98, 42.98, 42.98 degrees
With the nearest neighbours (Å) after each atom.
Fractional coordinates of all 4 atoms:
Pr 0.0000 0.0000 0.0000  8 Ga 3.11-3.36
Ga 0.2130 0.2130 0.2130  3 Ir 2.56, 3 Ga 2.86
Ga 0.7870 0.7870 0.7870  3 Ir 2.56, 3 Ga 2.86
Ir 0.5000 0.5000 0.5000  6 Ga 2.56

Record 4
# Pr2Ga3Ir

A relaxed Pr2Ga3Ir crystal (PBE, Alexandria).

Cell lengths 8.9117, 8.6131, 5.9459 Å; angles 72.90, 67.48, 39.62 degrees
With the nearest neighbours (Å) after each atom.
Fractional coordinates of all 12 atoms:
Pr 0.2390 0.7610 0.7610  2 Ir 3.11, 10 Ga 3.18-3.32
Pr 0.2500 0.2500 0.2500  8 Ga 3.20-3.21, 4 Ir 3.26
Pr 0.7500 0.7500 0.7500  8 Ga 3.20-3.21, 4 Ir 3.26
Pr 0.7610 0.2390 0.2390  2 Ir 3.11, 10 Ga 3.18-3.32
Ga 0.1640 0.6672 0.3328  1 Ir 2.54, 2 Ga 2.60-2.63
Ga 0.3291 0.3291 0.6709  1 Ir 2.56, 2 Ga 2.63
Ga 0.3328 0.8360 0.1640  1 Ir 2.54, 2 Ga 2.60-2.63
Ga 0.6672 0.1640 0.8360  1 Ir 2.54, 2 Ga 2.60-2.63
Ga 0.6709 0.6709 0.3291  1 Ir 2.56, 2 Ga 2.63
Ga 0.8360 0.3328 0.6672  1 Ir 2.54, 2 Ga 2.60-2.63
Ir 0.1627 0.1627 0.8373  3 Ga 2.54-2.56
Ir 0.8373 0.8373 0.1627  3 Ga 2.54-2.56

Record 5
# PrGa12Ir6

A relaxed PrGa12Ir6 crystal (PBE, Alexandria).

Cell lengths 7.2394, 7.2394, 7.2394 Å; angles 105.28, 105.28, 105.28 degrees
With the nearest neighbours (Å) after each atom.
Fractional coordinates of all 19 atoms:
Pr 0.0000 0.0000 0.0000  6 Ga 3.27
Ga 0.1158 0.5000 0.8842  4 Ir 2.56-2.57, 3 Ga 2.67-2.72
Ga 0.1158 0.8842 0.5000  4 Ir 2.56-2.57, 3 Ga 2.67-2.72
Ga 0.1274 0.4062 0.4062  3 Ir 2.54-2.59, 2 Ga 2.72
Ga 0.4062 0.1274 0.4062  3 Ir 2.54-2.59, 2 Ga 2.72
Ga 0.4062 0.4062 0.1274  3 Ir 2.54-2.59, 2 Ga 2.72
Ga 0.5000 0.1158 0.8842  4 Ir 2.56-2.57, 3 Ga 2.67-2.72
Ga 0.5000 0.8842 0.1158  4 Ir 2.56-2.57, 3 Ga 2.67-2.72
Ga 0.5938 0.5938 0.8726  3 Ir 2.54-2.59, 2 Ga 2.72
Ga 0.5938 0.8726 0.5938  3 Ir 2.54-2.59, 2 Ga 2.72
Ga 0.8726 0.5938 0.5938  3 Ir 2.54-2.59, 2 Ga 2.72
Ga 0.8842 0.1158 0.5000  4 Ir 2.56-2.57, 3 Ga 2.67-2.72
Ga 0.8842 0.5000 0.1158  4 Ir 2.56-2.57, 3 Ga 2.67-2.72
Ir 0.2736 0.2736 0.6902  7 Ga 2.54-2.59
Ir 0.2736 0.6902 0.2736  7 Ga 2.54-2.59
Ir 0.3098 0.7264 0.7264  7 Ga 2.54-2.59
Ir 0.6902 0.2736 0.2736  7 Ga 2.54-2.59
Ir 0.7264 0.3098 0.7264  7 Ga 2.54-2.59
Ir 0.7264 0.7264 0.3098  7 Ga 2.54-2.59

Record 6
# PrGa2Ir

A relaxed PrGa2Ir crystal (PBE, Alexandria).

Cell lengths 4.2422, 4.2422, 10.5621 Å; angles 90.00, 90.00, 120.00 degrees
With the nearest neighbours (Å) after each atom.
Fractional coordinates of all 8 atoms:
Pr 0.3333 0.6667 0.2500  8 Ga 3.09-3.40
Pr 0.6667 0.3333 0.7500  8 Ga 3.09-3.40
Ga 0.3333 0.6667 0.5722  3 Ir 2.57
Ga 0.3333 0.6667 0.9278  3 Ir 2.57
Ga 0.6667 0.3333 0.0722  3 Ir 2.57
Ga 0.6667 0.3333 0.4278  3 Ir 2.57
Ir 0.0000 0.0000 0.0000  6 Ga 2.57
Ir 0.0000 0.0000 0.5000  6 Ga 2.57

Record 7
# Pr2Ga3Ir

A relaxed Pr2Ga3Ir crystal (PBE, Alexandria).

Cell lengths 5.8216, 5.8216, 7.3640 Å; angles 127.78, 127.78, 44.50 degrees
With the nearest neighbours (Å) after each atom.
Fractional coordinates of all 6 atoms:
Pr 0.0000 0.0000 0.0000  3 Ir 3.11-3.17, 8 Ga 3.14-3.36
Pr 0.1047 0.1047 0.6091  9 Ga 3.10-3.45, 2 Ir 3.19
Ga 0.3758 0.3758 0.1964  2 Ir 2.58, 1 Ga 2.85
Ga 0.4011 0.4011 0.6064  1 Ir 2.61, 3 Ga 2.64-2.85
Ga 0.7267 0.7267 0.3928  2 Ga 2.64, 1 Ir 2.77
Ir 0.7124 0.7124 0.0031  4 Ga 2.58-2.77

Record 8
# Pr4Ga12Ir

A relaxed Pr4Ga12Ir crystal (PBE, Alexandria).

Cell lengths 7.6439, 7.6439, 7.6439 Å; angles 109.47, 109.47, 109.47 degrees
With the nearest neighbours (Å) after each atom.
Fractional coordinates of all 17 atoms:
Pr 0.0000 0.0000 0.5000  12 Ga 3.12-3.14
Pr 0.0000 0.5000 0.0000  12 Ga 3.12-3.14
Pr 0.5000 0.0000 0.0000  12 Ga 3.12-3.14
Pr 0.5000 0.5000 0.5000  12 Ga 3.12-3.14
Ga 0.0000 0.2913 0.2913  1 Ir 2.57, 4 Ga 2.87
Ga 0.0000 0.7087 0.7087  1 Ir 2.57, 4 Ga 2.87
Ga 0.2500 0.5000 0.7500  8 Ga 2.87-3.12, 4 Pr 3.12
Ga 0.2500 0.7500 0.5000  8 Ga 2.87-3.12, 4 Pr 3.12
Ga 0.2913 0.0000 0.2913  1 Ir 2.57, 4 Ga 2.87
Ga 0.2913 0.2913 0.0000  1 Ir 2.57, 4 Ga 2.87
Ga 0.5000 0.2500 0.7500  8 Ga 2.87-3.12, 4 Pr 3.12
Ga 0.5000 0.7500 0.2500  8 Ga 2.87-3.12, 4 Pr 3.12
Ga 0.7087 0.0000 0.7087  1 Ir 2.57, 4 Ga 2.87
Ga 0.7087 0.7087 0.0000  1 Ir 2.57, 4 Ga 2.87
Ga 0.7500 0.2500 0.5000  8 Ga 2.87-3.12, 4 Pr 3.12
Ga 0.7500 0.5000 0.2500  8 Ga 2.87-3.12, 4 Pr 3.12
Ir 0.0000 0.0000 0.0000  6 Ga 2.57

Computed ΔH_f (0 K) (meV per atom) in order:
-620 -659 -659 -664 -442 -692 -674 -604
Computed total DFT energy (no corrections) (eV per formula unit) in order:
-35.3 -86.0 -22.3 -31.5 -102.7 -22.5 -31.5 -74.6